[1]
NdY2Pd2: optimized geometry, PBE.

## Properties
- space group = No. 11
- offset from the most stable computed form (meV/atom) = 32
- calculated total energy (eV per atom) = -6.261
- M_tot (μB per formula unit) = 0.000
- energy relative to the elements (kJ per mole of atoms) = -62.2

Geometry as extended XYZ:
```
10
Lattice="5.4576 0.0000 0.0000 0.0000 4.7326 0.0000 -1.7372 0.0000 10.3540" Properties=species:S:1:pos:R:3 pbc="T T T"
Nd -0.0834 1.1831 2.9065
Nd 3.8038 3.5494 7.4475
Y -0.2740 1.1831 10.0400
Y 1.0749 1.1831 6.3937
Y 2.6455 3.5494 3.9603
Y 3.9945 3.5494 0.3139
Pd -0.0247 3.5494 4.9101
Pd 1.2300 3.5494 1.3850
Pd 2.4904 1.1831 8.9689
Pd 3.7451 1.1831 5.4439
```

---

[2]
NdY2Pd2: optimized geometry, PBE.

## Properties
- space group = No. 127
- offset from the most stable computed form (meV/atom) = 0
- calculated total energy (eV per atom) = -6.293
- M_tot (μB per formula unit) = 0.000
- energy relative to the elements (kJ per mole of atoms) = -65.3

Geometry as extended XYZ:
```
10
Lattice="7.9475 0.0000 0.0000 0.0000 7.9475 0.0000 0.0000 0.0000 3.9313" Properties=species:S:1:pos:R:3 pbc="T T T"
Nd 0.0000 0.0000 0.0000
Nd 3.9738 3.9738 0.0000
Y 1.2944 2.6793 1.9656
Y 2.6793 6.6531 1.9656
Y 5.2682 1.2944 1.9656
Y 6.6531 5.2682 1.9656
Pd 1.0317 5.0054 0.0000
Pd 2.9421 1.0317 0.0000
Pd 5.0054 6.9159 0.0000
Pd 6.9159 2.9421 0.0000
```

---

[3]
Nd2YPd3: optimized geometry, PBE.

## Properties
- space group = No. 15
- offset from the most stable computed form (meV/atom) = 99
- calculated total energy (eV per atom) = -5.948
- M_tot (μB per formula unit) = 0.000
- energy relative to the elements (kJ per mole of atoms) = -66.1

Geometry as extended XYZ:
```
12
Lattice="6.5834 -2.9523 0.0000 6.5834 2.9523 0.0000 -2.6548 0.0000 7.9220" Properties=species:S:1:pos:R:3 pbc="T T T"
Nd 1.9825 0.0140 0.6634
Nd 0.6551 -0.0140 4.6244
Nd 9.8568 0.0140 3.2976
Nd 8.5294 -0.0140 7.2586
Y 4.5922 0.0521 5.9415
Y 5.9197 -0.0521 1.9805
Pd 5.9197 2.8994 1.9805
Pd 3.3468 0.0145 3.3223
Pd 2.0194 -0.0145 7.2833
Pd 8.4925 0.0145 0.6387
Pd 7.1651 -0.0145 4.5998
Pd 4.5922 -2.8994 5.9415
```

---

[4]
NdZn2Pd9: optimized geometry, PBE.

## Properties
- space group = No. 123
- calculated total energy (eV per atom) = -4.940
- M_tot (μB per formula unit) = 0.000
- energy relative to the elements (kJ per mole of atoms) = -42.0

Geometry as extended XYZ:
```
12
Lattice="4.1502 0.0000 0.0000 0.0000 4.1502 0.0000 0.0000 0.0000 11.3099" Properties=species:S:1:pos:R:3 pbc="T T T"
Nd 0.0000 0.0000 0.0000
Zn 0.0000 0.0000 3.9113
Zn 0.0000 0.0000 7.3986
Pd 0.0000 2.0751 2.1327
Pd 0.0000 2.0751 5.6550
Pd 0.0000 2.0751 9.1772
Pd 2.0751 0.0000 2.1327
Pd 2.0751 0.0000 5.6550
Pd 2.0751 0.0000 9.1772
Pd 2.0751 2.0751 0.0000
Pd 2.0751 2.0751 3.8938
Pd 2.0751 2.0751 7.4161
```

---

[5]
Nd2Zn15Pd2: optimized geometry, PBE.

## Properties
- space group = No. 166
- calculated total energy (eV per atom) = -2.393
- M_tot (μB per formula unit) = 0.000
- energy relative to the elements (kJ per mole of atoms) = -32.7

Geometry as extended XYZ:
```
19
Lattice="4.5236 2.6117 4.4330 -4.5236 2.6117 4.4330 0.0000 -5.2234 4.4330" Properties=species:S:1:pos:R:3 pbc="T T T"
Nd 0.0000 0.0000 2.1460
Nd 0.0000 0.0000 11.1531
Zn -2.2618 -1.3058 4.4330
Zn 0.0000 -2.6345 4.2463
Zn -2.2815 1.3172 4.2463
Zn -1.2919 -2.2376 6.6495
Zn -2.5838 0.0000 6.6495
Zn -2.2815 -1.3172 9.0528
Zn -2.2618 1.3058 8.8660
Zn 1.2919 -2.2376 6.6495
Zn 0.0000 2.6117 4.4330
Zn -1.2919 2.2376 6.6495
Zn 2.2815 1.3172 4.2463
Zn 2.5838 0.0000 6.6495
Zn 1.2919 2.2376 6.6495
Zn 2.2815 -1.3172 9.0528
Zn 0.0000 2.6345 9.0528
Pd 0.0000 0.0000 5.2081
Pd 0.0000 0.0000 8.0909
```

---

[6]
NdZnPd5: optimized geometry, PBE.

## Properties
- space group = No. 123
- calculated total energy (eV per atom) = -5.066
- M_tot (μB per formula unit) = 0.000
- energy relative to the elements (kJ per mole of atoms) = -47.6

Geometry as extended XYZ:
```
7
Lattice="4.2203 0.0000 0.0000 0.0000 4.2203 0.0000 0.0000 0.0000 7.0500" Properties=species:S:1:pos:R:3 pbc="T T T"
Nd 0.0000 0.0000 0.0000
Zn 2.1101 2.1101 3.5250
Pd 0.0000 2.1101 2.0604
Pd 0.0000 2.1101 4.9896
Pd 2.1101 0.0000 2.0604
Pd 2.1101 0.0000 4.9896
Pd 2.1101 2.1101 0.0000
```

---

[7]
Nd2ZnPd3: optimized geometry, PBE.

## Properties
- space group = No. 194
- offset from the most stable computed form (meV/atom) = 33
- calculated total energy (eV per atom) = -5.074
- M_tot (μB per formula unit) = 0.000
- energy relative to the elements (kJ per mole of atoms) = -65.2

Geometry as extended XYZ:
```
12
Lattice="4.5095 0.0000 0.0000 -2.2548 3.9054 0.0000 0.0000 0.0000 14.8893" Properties=species:S:1:pos:R:3 pbc="T T T"
Nd 0.0000 0.0000 1.8281
Nd 0.0000 0.0000 5.6165
Nd 0.0000 0.0000 9.2728
Nd 0.0000 0.0000 13.0612
Zn 0.0000 2.6036 3.7223
Zn 2.2548 1.3018 11.1670
Pd 0.0000 2.6036 0.2727
Pd 0.0000 2.6036 7.1720
Pd 0.0000 2.6036 11.1670
Pd 2.2548 1.3018 3.7223
Pd 2.2548 1.3018 7.7173
Pd 2.2548 1.3018 14.6166
```

---

[8]
Nd12ZnPd6: optimized geometry, PBE.

## Properties
- space group = No. 148
- calculated total energy (eV per atom) = -5.082
- M_tot (μB per formula unit) = 0.000
- energy relative to the elements (kJ per mole of atoms) = -35.1

Geometry as extended XYZ:
```
19
Lattice="6.6228 3.8237 3.9122 -6.6228 3.8237 3.9122 0.0000 -7.6474 3.9122" Properties=species:S:1:pos:R:3 pbc="T T T"
Nd -4.0915 -4.2395 6.4629
Nd -5.7172 1.4236 5.2738
Nd -1.5611 -2.1265 4.5452
Nd 1.6257 -5.6630 5.2738
Nd -1.0611 2.4152 4.5452
Nd -2.6221 0.2887 7.1915
Nd 2.6221 -0.2887 4.5452
Nd 1.0611 -2.4152 7.1915
Nd -1.6257 5.6630 6.4629
Nd 1.5611 2.1265 7.1915
Nd 5.7172 -1.4236 6.4629
Nd 4.0915 4.2395 5.2738
Zn 0.0000 0.0000 0.0000
Pd -3.1840 0.4550 4.1920
Pd 1.1980 -2.9850 4.1920
Pd -1.9861 -2.5300 7.5447
Pd 1.9861 2.5300 4.1920
Pd -1.1980 2.9850 7.5447
Pd 3.1840 -0.4550 7.5447
```

---

[9]
Nd2Zn16Pd: optimized geometry, PBE.

## Properties
- space group = No. 160
- calculated total energy (eV per atom) = -2.151
- M_tot (μB per formula unit) = 0.000
- energy relative to the elements (kJ per mole of atoms) = -29.2

Geometry as extended XYZ:
```
19
Lattice="4.5252 2.6126 4.4213 -4.5252 2.6126 4.4213 0.0000 -5.2252 4.4213" Properties=species:S:1:pos:R:3 pbc="T T T"
Nd 0.0000 0.0000 0.0000
Nd 0.0000 0.0000 4.3271
Zn 0.0000 -2.5408 2.3337
Zn -2.2004 1.2704 2.3337
Zn -2.2386 -1.2924 6.5566
Zn 0.0000 -2.6425 6.3840
Zn -2.2884 1.3212 6.3840
Zn -1.3110 -2.2725 8.7619
Zn -2.6235 0.0008 8.7619
Zn 2.2004 1.2704 2.3337
Zn 2.2386 -1.2925 6.5566
Zn 0.0000 2.5849 6.5566
Zn 1.3110 -2.2725 8.7619
Zn -1.3125 2.2716 8.7619
Zn 0.0000 0.0000 10.1274
Zn 2.2884 1.3212 6.3840
Zn 2.6235 0.0008 8.7619
Zn 1.3125 2.2716 8.7619
Pd 0.0000 0.0000 7.4777
```

---

[10]
NdZn8Pd2: optimized geometry, PBE.

## Properties
- space group = No. 123
- calculated total energy (eV per atom) = -2.369
- M_tot (μB per formula unit) = 0.000
- energy relative to the elements (kJ per mole of atoms) = -6.2

Geometry as extended XYZ:
```
11
Lattice="6.4957 0.0000 0.0000 0.0000 6.4957 0.0000 0.0000 0.0000 5.1115" Properties=species:S:1:pos:R:3 pbc="T T T"
Nd 0.0000 0.0000 0.0000
Zn 1.9288 1.9288 1.2784
Zn 1.9288 1.9288 3.8331
Zn 1.9288 4.5669 1.2784
Zn 1.9288 4.5669 3.8331
Zn 4.5669 1.9288 1.2784
Zn 4.5669 1.9288 3.8331
Zn 4.5669 4.5669 1.2784
Zn 4.5669 4.5669 3.8331
Pd 0.0000 3.2478 2.5557
Pd 3.2478 0.0000 2.5557
```

---

[11]
NdZn4Pd: optimized geometry, PBE.

## Properties
- space group = No. 51
- offset from the most stable computed form (meV/atom) = 0
- calculated total energy (eV per atom) = -2.897
- M_tot (μB per formula unit) = 0.000
- energy relative to the elements (kJ per mole of atoms) = -37.4

Geometry as extended XYZ:
```
12
Lattice="7.8882 0.0000 0.0000 0.0000 4.0374 0.0000 0.0000 0.0000 7.0522" Properties=species:S:1:pos:R:3 pbc="T T T"
Nd 1.9720 0.0000 0.8452
Nd 5.9161 0.0000 6.2070
Zn 0.0000 0.0000 3.5261
Zn 0.3840 2.0187 5.6617
Zn 1.9720 2.0187 3.1974
Zn 3.5601 2.0187 5.6617
Zn 3.9441 0.0000 3.5261
Zn 4.3281 2.0187 1.3905
Zn 5.9161 2.0187 3.8548
Zn 7.5042 2.0187 1.3905
Pd 1.9720 0.0000 5.0145
Pd 5.9161 0.0000 2.0377
```

---

Which value of M_tot does entry 9 give?
0.000 μB per formula unit